Density functional theory data (GGA-PBEsol) for MgZn3 after structural relaxation.

Computed properties:
Crystal system ... orthorhombic
Uncorrected energy ... -0.1189 Ry per atom
ρ ... 5.9 g/cm³
DFT formation energy ... 0.00 eV per atom

Cell: 2.838 4.884 5.315 Å, 117.36 105.48 90.00°
Fractional coordinates of all 4 atoms:
Zn  0.757  0.752  0.515
Zn  0.243  0.237  0.485
Zn  0.500  0.833  0.000
Mg  0.000  0.345  0.000

Density functional theory data (GGA-PBEsol) for MnVP2O8 after structural relaxation.

Computed properties:
Crystal system ... monoclinic
Uncorrected energy ... -0.6014 Ry per atom
ρ ... 3.6 g/cm³

Cell: 4.791 5.789 9.850 Å, 90.00 91.17 90.00°
Fractional coordinates of all 24 atoms:
Mn  0.554  0.750  0.724
Mn  0.446  0.250  0.276
V  0.047  0.250  0.777
V  0.953  0.750  0.223
P  0.086  0.750  0.908
P  0.914  0.250  0.092
P  0.609  0.250  0.597
P  0.391  0.750  0.403
O  0.833  0.250  0.941
O  0.167  0.750  0.059
O  0.770  0.750  0.890
O  0.230  0.250  0.110
O  0.298  0.250  0.627
O  0.702  0.750  0.373
O  0.343  0.750  0.555
O  0.657  0.250  0.445
O  0.225  0.961  0.833
O  0.225  0.539  0.833
O  0.775  0.461  0.167
O  0.775  0.039  0.167
O  0.769  0.047  0.672
O  0.769  0.453  0.672
O  0.231  0.953  0.328
O  0.231  0.547  0.328

Density functional theory data (GGA-PBEsol) for MnMo2Ru after structural relaxation.

Computed properties:
Relative energy among the computed polymorphs ... 0.10 eV per formula unit
Crystal system ... monoclinic
Uncorrected energy ... -0.7866 Ry per atom
ρ ... 10.5 g/cm³
DFT formation energy ... 0.16 eV per atom

Cell: 2.696 4.279 4.798 Å, 90.00 96.07 90.00°
Fractional coordinates of all 4 atoms:
Mn  0.347  0.500  0.783
Mo  0.994  0.000  0.966
Mo  0.770  0.500  0.273
Ru  0.388  0.000  0.478

Density functional theory data (GGA-PBEsol) for Cs2GaAgCl6 after structural relaxation.

Computed properties:
Crystal system ... cubic
Uncorrected energy ... -0.2513 Ry per atom
ρ ... 4.2 g/cm³

Cell: 7.166 7.166 7.166 Å, 60.00 60.00 60.00°
Fractional coordinates of all 10 atoms:
Cs  0.750  0.750  0.750
Cs  0.250  0.250  0.250
Ga  0.000  0.000  0.000
Ag  0.500  0.500  0.500
Cl  0.764  0.236  0.236
Cl  0.764  0.764  0.236
Cl  0.236  0.764  0.764
Cl  0.764  0.236  0.764
Cl  0.236  0.764  0.236
Cl  0.236  0.236  0.764

Density functional theory data (GGA-PBEsol) for CrCSeN2 after structural relaxation.

Computed properties:
Crystal system ... tetragonal
Uncorrected energy ... -0.4582 Ry per atom
ρ ... 5.6 g/cm³

Cell: 3.524 3.524 4.113 Å, 90.00 90.00 90.00°
Fractional coordinates of all 5 atoms:
Cr  0.500  0.500  0.500
C  0.000  0.000  0.000
Se  0.000  0.000  0.500
N  0.000  0.500  0.000
N  0.500  0.000  0.000

Density functional theory data (GGA-PBEsol) for KCrAu2 after structural relaxation.

Computed properties:
Relative energy among the computed polymorphs ... 0.00 eV per formula unit
Crystal system ... monoclinic
Uncorrected energy ... -0.3255 Ry per atom
ρ ... 8.8 g/cm³
DFT formation energy ... 0.38 eV per atom

Cell: 3.059 5.150 6.162 Å, 99.62 90.00 107.27°
Fractional coordinates of all 4 atoms:
Au  0.976  0.951  0.946
Au  0.254  0.508  0.707
Cr  0.529  0.058  0.621
K  0.741  0.483  0.226

Density functional theory data (GGA-PBEsol) for NbCN3 after structural relaxation.

Computed properties:
Crystal system ... cubic
Uncorrected energy ... -0.5871 Ry per atom
ρ ... 6.4 g/cm³

Cell: 3.369 3.369 3.369 Å, 90.00 90.00 90.00°
Fractional coordinates of all 5 atoms:
Nb  0.500  0.500  0.500
C  0.000  0.000  0.000
N  0.000  0.500  0.000
N  0.000  0.000  0.500
N  0.500  0.000  0.000

Density functional theory data (GGA-PBEsol) for KSe2Br after structural relaxation.

Computed properties:
Relative energy among the computed polymorphs ... 2.31 eV per formula unit
Crystal system ... trigonal
Uncorrected energy ... -0.1872 Ry per atom
ρ ... 4.5 g/cm³

Cell: 3.044 3.044 12.825 Å, 83.18 83.18 60.00°
Fractional coordinates of all 4 atoms:
Br  0.500  0.500  0.500
K  0.000  0.000  0.000
Se  0.263  0.263  0.210
Se  0.737  0.737  0.790